*one*
# Pt3I8

A relaxed structure of Pt3I8 (GGA-PBE, Alexandria via LeMat-Bulk).

Values from the calculation:
As for the crystal system: tetragonal.

Lattice parameters (Å, degrees): 11.8953 11.8953 11.1529 90.00 90.00 90.00
Last column: nearest neighbours and their distance in Å.
Sites, in units of the cell vectors:
Pt (0.1204, 0.3700, 0.2646)  4 I 2.63-2.66
Pt (0.1222, 0.1222, 0.5000)  6 I 2.67-2.76
Pt (0.1300, 0.6204, 0.5146)  4 I 2.63-2.66
Pt (0.3700, 0.1204, 0.7354)  4 I 2.63-2.66
Pt (0.3778, 0.6222, 0.7500)  6 I 2.67-2.76
Pt (0.3796, 0.8700, 0.9854)  4 I 2.63-2.66
Pt (0.6204, 0.1300, 0.4854)  4 I 2.63-2.66
Pt (0.6222, 0.3778, 0.2500)  6 I 2.67-2.76
Pt (0.6300, 0.8796, 0.2354)  4 I 2.63-2.66
Pt (0.8700, 0.3796, 0.0146)  4 I 2.63-2.66
Pt (0.8778, 0.8778, 0.0000)  6 I 2.67-2.76
Pt (0.8796, 0.6300, 0.7646)  4 I 2.63-2.66
I (0.0936, 0.3774, 0.0283)  2 Pt 2.66
I (0.1081, 0.8771, 0.0233)  1 Pt 2.75
I (0.1144, 0.1472, 0.2619)  2 Pt 2.65-2.67
I (0.1226, 0.5936, 0.2783)  2 Pt 2.66
I (0.1229, 0.8919, 0.4767)  1 Pt 2.75
I (0.1265, 0.3539, 0.4995)  2 Pt 2.63-2.76
I (0.1461, 0.6265, 0.7495)  2 Pt 2.63-2.76
I (0.1472, 0.1144, 0.7381)  2 Pt 2.65-2.67
I (0.3528, 0.6144, 0.5119)  2 Pt 2.65-2.67
I (0.3539, 0.1265, 0.5005)  2 Pt 2.63-2.76
I (0.3735, 0.8539, 0.7505)  2 Pt 2.63-2.76
I (0.3774, 0.0936, 0.9717)  2 Pt 2.66
I (0.3771, 0.3919, 0.7733)  1 Pt 2.75
I (0.3856, 0.6472, 0.9881)  2 Pt 2.65-2.67
I (0.3919, 0.3771, 0.2267)  1 Pt 2.75
I (0.4064, 0.8774, 0.2217)  2 Pt 2.66
I (0.5936, 0.1226, 0.7217)  2 Pt 2.66
I (0.6081, 0.6229, 0.7267)  1 Pt 2.75
I (0.6144, 0.3528, 0.4881)  2 Pt 2.65-2.67
I (0.6229, 0.6081, 0.2733)  1 Pt 2.75
I (0.6226, 0.9064, 0.4717)  2 Pt 2.66
I (0.6265, 0.1461, 0.2505)  2 Pt 2.63-2.76
I (0.6461, 0.8735, 0.0005)  2 Pt 2.63-2.76
I (0.6472, 0.3856, 0.0119)  2 Pt 2.65-2.67
I (0.8528, 0.8856, 0.2381)  2 Pt 2.65-2.67
I (0.8539, 0.3735, 0.2495)  2 Pt 2.63-2.76
I (0.8735, 0.6461, 0.9995)  2 Pt 2.63-2.76
I (0.8771, 0.1081, 0.9767)  1 Pt 2.75
I (0.8774, 0.4064, 0.7783)  2 Pt 2.66
I (0.8856, 0.8528, 0.7619)  2 Pt 2.65-2.67
I (0.8919, 0.1229, 0.5233)  1 Pt 2.75
I (0.9064, 0.6226, 0.5283)  2 Pt 2.66

***

*two*
# Pt3I8

A relaxed structure of Pt3I8 (GGA-PBE, Alexandria via LeMat-Bulk).

Values from the calculation:
As for the crystal system: trigonal.

Lattice parameters (Å, degrees): 8.6325 8.6325 8.6325 56.62 56.62 56.62
Last column: nearest neighbours and their distance in Å.
Sites, in units of the cell vectors:
Pt (0.0000, 0.5000, 0.5000)  4 I 2.65-2.68
Pt (0.5000, 0.0000, 0.5000)  4 I 2.65-2.68
Pt (0.5000, 0.5000, 0.0000)  4 I 2.65-2.68
I (0.0498, 0.1332, 0.5868)  1 Pt 2.65
I (0.1332, 0.5868, 0.0498)  1 Pt 2.65
I (0.3915, 0.3915, 0.3915)  3 Pt 2.68
I (0.4132, 0.9502, 0.8668)  1 Pt 2.65
I (0.5868, 0.0498, 0.1332)  1 Pt 2.65
I (0.6085, 0.6085, 0.6085)  3 Pt 2.68
I (0.8668, 0.4132, 0.9502)  1 Pt 2.65
I (0.9502, 0.8668, 0.4132)  1 Pt 2.65

***

Winner for stability: *one*

***

*one*
# Pu2PtI

A relaxed structure of Pu2PtI (GGA-PBE, Alexandria via LeMat-Bulk).

Values from the calculation:
As for the crystal system: trigonal.

Lattice parameters (Å, degrees): 4.1378 4.1378 23.9944 90.00 90.00 120.00
Last column: nearest neighbours and their distance in Å.
Sites, in units of the cell vectors:
Pu (0.0000, 0.0000, 0.2315)  3 Pt 2.85
Pu (0.0000, 0.0000, 0.7685)  3 Pt 2.85
Pu (0.3333, 0.6667, 0.4352)  3 Pt 2.85
Pu (0.3333, 0.6667, 0.8982)  3 Pt 2.85
Pu (0.6667, 0.3333, 0.1018)  3 Pt 2.85
Pu (0.6667, 0.3333, 0.5648)  3 Pt 2.85
Pt (0.0000, 0.0000, 0.5000)  6 Pu 2.85
Pt (0.3333, 0.6667, 0.1667)  6 Pu 2.85
Pt (0.6667, 0.3333, 0.8333)  6 Pu 2.85
I (0.0000, 0.0000, 0.0000)  6 Pu 3.42
I (0.3333, 0.6667, 0.6667)  6 Pu 3.42
I (0.6667, 0.3333, 0.3333)  6 Pu 3.42

***

*two*
# Pu2PtI

A relaxed structure of Pu2PtI (GGA-PBE, Alexandria via LeMat-Bulk).

Values from the calculation:
As for the crystal system: tetragonal.

Lattice parameters (Å, degrees): 3.6221 3.6221 7.8358 90.00 90.00 90.00
Last column: nearest neighbours and their distance in Å.
Sites, in units of the cell vectors:
Pu (0.0000, 0.0000, 0.2093)  4 Pt 3.04, 1 Pu 3.28
Pu (0.0000, 0.0000, 0.7907)  4 Pt 3.04, 1 Pu 3.28
Pt (0.5000, 0.5000, 0.0000)  8 Pu 3.04
I (0.5000, 0.5000, 0.5000)  8 Pu 3.43, 4 I 3.62

***

Winner for stability: *one*

***

*one*
# RbPtI2

A relaxed structure of RbPtI2 (GGA-PBE, Alexandria via LeMat-Bulk).

Values from the calculation:
As for the crystal system: tetragonal.

Lattice parameters (Å, degrees): 7.0468 7.0468 14.7644 90.00 90.00 90.00
Last column: nearest neighbours and their distance in Å.
Sites, in units of the cell vectors:
Rb (0.0000, 0.0000, 0.0000)  4 I 3.65
Rb (0.0000, 0.5000, 0.2500)  4 I 3.65
Rb (0.5000, 0.0000, 0.7500)  4 I 3.65
Rb (0.5000, 0.5000, 0.5000)  4 I 3.65
Pt (0.0000, 0.0000, 0.5000)  4 I 2.71
Pt (0.0000, 0.5000, 0.7500)  4 I 2.71
Pt (0.5000, 0.0000, 0.2500)  4 I 2.71
Pt (0.5000, 0.5000, 0.0000)  4 I 2.71
I (0.1289, 0.2500, 0.6250)  2 Pt 2.71
I (0.2500, 0.6289, 0.8750)  2 Pt 2.71
I (0.2500, 0.8711, 0.3750)  2 Pt 2.71
I (0.3711, 0.2500, 0.1250)  2 Pt 2.71
I (0.6289, 0.7500, 0.1250)  2 Pt 2.71
I (0.7500, 0.1289, 0.3750)  2 Pt 2.71
I (0.7500, 0.3711, 0.8750)  2 Pt 2.71
I (0.8711, 0.7500, 0.6250)  2 Pt 2.71

***

*two*
# RbPtI2

A relaxed structure of RbPtI2 (GGA-PBE, Alexandria via LeMat-Bulk).

Values from the calculation:
As for the crystal system: cubic.

Lattice parameters (Å, degrees): 7.9925 7.9925 7.9925 90.00 90.00 90.00
Last column: nearest neighbours and their distance in Å.
Sites, in units of the cell vectors:
Rb (0.0000, 0.0000, 0.0000)  8 I 3.46
Rb (0.0000, 0.5000, 0.5000)  8 I 3.46
Rb (0.5000, 0.0000, 0.5000)  8 I 3.46
Rb (0.5000, 0.5000, 0.0000)  8 I 3.46
Pt (0.0000, 0.0000, 0.5000)  8 I 3.46
Pt (0.0000, 0.5000, 0.0000)  8 I 3.46
Pt (0.5000, 0.0000, 0.0000)  8 I 3.46
Pt (0.5000, 0.5000, 0.5000)  8 I 3.46
I (0.2500, 0.2500, 0.2500)  4 Rb 3.46, 4 Pt 3.46
I (0.2500, 0.2500, 0.7500)  4 Pt 3.46, 4 Rb 3.46
I (0.2500, 0.7500, 0.2500)  4 Pt 3.46, 4 Rb 3.46
I (0.2500, 0.7500, 0.7500)  4 Rb 3.46, 4 Pt 3.46
I (0.7500, 0.2500, 0.2500)  4 Pt 3.46, 4 Rb 3.46
I (0.7500, 0.2500, 0.7500)  4 Rb 3.46, 4 Pt 3.46
I (0.7500, 0.7500, 0.2500)  4 Rb 3.46, 4 Pt 3.46
I (0.7500, 0.7500, 0.7500)  4 Pt 3.46, 4 Rb 3.46

***

Winner for stability: *one*

***

*one*
# RbPtI

A relaxed structure of RbPtI (GGA-PBE, Alexandria via LeMat-Bulk).

Values from the calculation:
As for the crystal system: hexagonal.

Lattice parameters (Å, degrees): 4.6587 4.6587 5.2742 90.00 90.00 120.00
Last column: nearest neighbours and their distance in Å.
Sites, in units of the cell vectors:
Rb (0.0000, 0.0000, 0.0000)  6 Pt 3.77, 6 I 3.77
Pt (0.6667, 0.3333, 0.5000)  3 I 2.69
I (0.3333, 0.6667, 0.5000)  3 Pt 2.69

***

*two*
# RbPtI

A relaxed structure of RbPtI (GGA-PBE, Alexandria via LeMat-Bulk).

Values from the calculation:
As for the crystal system: monoclinic.

Lattice parameters (Å, degrees): 5.7965 3.9934 9.3583 90.00 90.01 90.00
Last column: nearest neighbours and their distance in Å.
Sites, in units of the cell vectors:
Rb (0.0000, 0.0000, 0.0000)  6 Pt 3.27-3.53, 2 I 3.60
Rb (0.0067, 0.0000, 0.4824)  6 I 3.71-3.99, 2 Rb 3.99, 1 Pt 4.15
Pt (0.4991, 0.5000, 0.9733)  2 Pt 2.67, 2 I 2.75
Pt (0.5008, 0.0000, 0.1622)  2 Pt 2.67, 2 I 2.71
I (0.5000, 0.0000, 0.7711)  2 Pt 2.75
I (0.5062, 0.5000, 0.3577)  2 Pt 2.71

***

Winner for stability: *two*